1.
First-principles (PBE) data for a relaxed La5Sm2In5 crystal, as listed in Alexandria.

Polymorph energy (0 for the lowest one) in eV per atom: 0.000
Formation energy in eV per formula unit: -4.7

```
La5Sm2In5
1.0
7.860 -2.284 0.000
7.860 2.284 0.000
-5.204 0.000 10.179
La Sm In
5 2 5
direct
0.000 0.000 0.000
0.078 0.078 0.757
0.249 0.249 0.246
0.751 0.751 0.754
0.922 0.922 0.243
0.152 0.152 0.484
0.848 0.848 0.516
0.322 0.322 0.997
0.405 0.405 0.737
0.500 0.500 0.500
0.595 0.595 0.263
0.678 0.678 0.003
```

***

2.
First-principles (PBE) data for a relaxed La4Sm3In crystal, as listed in Alexandria.

Polymorph energy (0 for the lowest one) in eV per atom: 0.000
Formation energy in eV per formula unit: -0.8

```
La4Sm3In
1.0
10.172 0.000 0.000
0.000 7.152 0.000
0.000 0.000 7.277
La Sm In
8 6 2
direct
0.000 0.001 0.000
0.000 0.499 0.499
0.250 0.254 0.249
0.250 0.746 0.749
0.500 0.501 0.999
0.500 0.999 0.500
0.750 0.254 0.249
0.750 0.746 0.749
0.000 0.000 0.500
0.250 0.269 0.750
0.250 0.731 0.250
0.500 0.000 0.000
0.750 0.269 0.750
0.750 0.731 0.250
0.000 0.500 0.999
0.500 0.500 0.499
```

***

3.
First-principles (PBE) data for a relaxed La15Sm4In crystal, as listed in Alexandria.

Formation energy in eV per formula unit: -0.9

```
La15Sm4In
1.0
5.191 0.000 0.000
0.000 5.191 0.000
0.000 0.000 26.157
La Sm In
15 4 1
direct
0.000 0.000 0.000
0.000 0.000 0.199
0.000 0.000 0.399
0.000 0.000 0.601
0.000 0.000 0.801
0.000 0.500 0.096
0.000 0.500 0.298
0.000 0.500 0.500
0.000 0.500 0.702
0.000 0.500 0.904
0.500 0.000 0.096
0.500 0.000 0.298
0.500 0.000 0.500
0.500 0.000 0.702
0.500 0.000 0.904
0.500 0.500 0.198
0.500 0.500 0.400
0.500 0.500 0.600
0.500 0.500 0.802
0.500 0.500 0.000
```

***

4.
First-principles (PBE) data for a relaxed La4Sm2In crystal, as listed in Alexandria.

Polymorph energy (0 for the lowest one) in eV per atom: 0.046
Formation energy in eV per formula unit: 0.0

```
La4Sm2In
1.0
4.288 -5.466 0.000
4.288 5.466 0.000
0.000 0.000 5.286
La Sm In
4 2 1
direct
0.000 0.500 0.500
0.189 0.189 0.000
0.500 0.000 0.500
0.811 0.811 0.000
0.309 0.691 0.000
0.691 0.309 0.000
0.500 0.500 0.500
```

***

5.
First-principles (PBE) data for a relaxed LaSm2In6 crystal, as listed in Alexandria.

Polymorph energy (0 for the lowest one) in eV per atom: 0.000
Formation energy in eV per formula unit: -4.2

```
LaSm2In6
1.0
8.694 0.000 0.000
-4.347 7.529 0.000
0.000 0.000 3.713
La Sm In
1 2 6
direct
0.000 0.000 0.000
0.333 0.667 0.000
0.667 0.333 0.000
0.000 0.335 0.500
0.000 0.665 0.500
0.335 0.000 0.500
0.335 0.335 0.500
0.665 0.000 0.500
0.665 0.665 0.500
```

***

6.
First-principles (PBE) data for a relaxed La5Sm2In crystal, as listed in Alexandria.

Polymorph energy (0 for the lowest one) in eV per atom: 0.021
Formation energy in eV per formula unit: -0.8

```
La5Sm2In
1.0
7.300 0.000 0.000
0.000 14.790 0.000
0.000 0.000 4.997
La Sm In
10 4 2
direct
0.000 0.000 0.000
0.003 0.259 0.000
0.250 0.377 0.500
0.250 0.877 0.500
0.497 0.759 0.000
0.500 0.500 0.000
0.503 0.241 0.000
0.750 0.123 0.500
0.750 0.623 0.500
0.997 0.741 0.000
0.236 0.617 0.500
0.264 0.117 0.500
0.736 0.883 0.500
0.764 0.383 0.500
0.000 0.500 0.000
0.500 0.000 0.000
```

***

V for every record listed, in sequence, given in Å³ per cell: 365.5; 529.4; 704.8; 247.8; 243.1; 539.5.
N(E_F) for every record listed, in sequence, given in states/eV/f.u.: 11.95; 10.74; 29.84; 9.75; 3.64; 11.73.